Density functional theory data (PBE) for an optimized crystal structure of LiGdYZn.

Values from the calculation:
Calculated formation energy (eV per atom): -0.134
Symmetry: F-43m
D(E_F) (states/eV/cell): 3.9
Size of the total moment (μB per formula unit): 7.80

Geometry as POSCAR:
```
LiGdYZn
1.0
0.000 3.633 3.633
3.633 0.000 3.633
3.633 3.633 0.000
Li Gd Y Zn
1 1 1 1
Direct
0.000 0.000 0.000
0.250 0.250 0.250
0.750 0.750 0.750
0.500 0.500 0.500
```